ZrCdOs2, relaxed, DFT PBE; E_form = 0.32 eV per atom; symmetry = No. 10; energy = -7.658 eV per atom; M_tot = 0.0 μB/cell
1.0
-1.191 3.231 -3.122
-2.245 -1.523 -0.720
-3.178 2.274 3.565
Cd Os Zr
1 2 1
Direct
0.500 0.750 0.750
0.000 0.997 0.985
0.000 0.503 0.515
0.500 0.250 0.250